! PBE CeDy3Ho2, relaxed; values from VASP
! Volume ... 375 Å³ per cell
! Total energy ... -4.76 eV per atom
! Formation energy from the elements ... 0.0542 eV/atom
! Relative energy among the computed polymorphs ... 0.000 eV per atom
! M_tot ... 1.078 μB per formula unit
&SYSTEM
  ibrav = 0, nat = 12, ntyp = 3
/
ATOMIC_SPECIES
Ho 164.93 Ho.upf
Dy 162.50 Dy.upf
Ce 140.12 Ce.upf
ATOMIC_POSITIONS crystal
Ho 0.667 0.667 0.000
Ho 0.333 0.333 0.000
Ho 0.167 0.667 0.500
Ho 0.833 0.333 0.500
Dy 0.750 0.500 0.250
Dy 0.085 0.835 0.250
Dy 0.585 0.835 0.750
Dy 0.250 0.500 0.750
Dy 0.915 0.165 0.750
Dy 0.415 0.165 0.250
Ce 0.500 0.000 0.500
Ce 0.000 0.000 0.000
CELL_PARAMETERS angstrom
-8.158 2.036 4.078
-2.818 8.147 -3.606
1.720 -9.109 -1.181